The following is a PBE calculation of crystalline ReSbAsO at its relaxed geometry, from OQMD via LeMat-Bulk.

Cell and atoms, written as POSCAR:
```
ReSbAsO
1.0
4.342 0.000 0.000
0.000 6.333 0.000
0.000 0.000 5.429
Re As O Sb
2 2 2 2
direct
0.500 0.440 0.004
0.500 0.560 0.504
0.000 0.238 0.961
0.000 0.762 0.461
0.500 0.737 0.831
0.500 0.263 0.331
0.000 0.238 0.458
0.000 0.762 0.958
```

## Properties
ρ   8.87 g/cm³
Energy relative to the lowest polymorph listed for this composition   246 meV per atom
Symmetry   Pmc2_1, No. 26
E_tot   -26.003 eV per formula unit